# AlGeIr (PBE-GGA, optimized geometry)
data_AlGeIr
_chemical_formula_sum 'Al4 Ge4 Ir4'
_symmetry_space_group_name_H-M 'F -4 3 m'
_symmetry_Int_Tables_number 216
_symmetry_space_group_name_Hall 'F -4 2 3'
_cell_length_a 5.9179
_cell_length_b 5.9179
_cell_length_c 5.9179
_cell_angle_alpha 90.00
_cell_angle_beta 90.00
_cell_angle_gamma 90.00
loop_
_atom_site_label
_atom_site_fract_x
_atom_site_fract_y
_atom_site_fract_z
_atom_site_occupancy
Al1 0.0000 0.0000 0.0000 1
Ge1 0.0000 0.0000 0.5000 1
Ir1 0.2500 0.2500 0.7500 1
# Volume ... 17.27 A^3/atom
# ΔH_f (0 K) ... -1.42 eV/f.u.

=====

# Al8Ge2Ir (PBE-GGA, optimized geometry)
data_Al8Ge2Ir
_chemical_formula_sum 'Al16 Ge4 Ir2'
_symmetry_space_group_name_H-M 'I m m m'
_symmetry_Int_Tables_number 71
_symmetry_space_group_name_Hall '-I 2 2'
_cell_length_a 4.0679
_cell_length_b 7.4604
_cell_length_c 12.1701
_cell_angle_alpha 90.00
_cell_angle_beta 90.00
_cell_angle_gamma 90.00
loop_
_atom_site_label
_atom_site_fract_x
_atom_site_fract_y
_atom_site_fract_z
_atom_site_occupancy
Al1 0.0000 0.0000 0.1761 1
Al2 0.0000 0.2272 0.0000 1
Al3 0.0000 0.2466 0.3389 1
Ge1 0.0000 0.5000 0.1345 1
Ir1 0.0000 0.5000 0.5000 1
# Volume ... 16.79 A^3/atom
# ΔH_f (0 K) ... -1.14 eV/f.u.

=====

# Al2Ge2Ir (PBE-GGA, optimized geometry)
data_Al2Ge2Ir
_chemical_formula_sum 'Al4 Ge4 Ir2'
_symmetry_space_group_name_H-M 'P 4/m b m'
_symmetry_Int_Tables_number 127
_symmetry_space_group_name_Hall '-P 4 2ab'
_cell_length_a 6.3710
_cell_length_b 6.3710
_cell_length_c 4.2188
_cell_angle_alpha 90.00
_cell_angle_beta 90.00
_cell_angle_gamma 90.00
loop_
_atom_site_label
_atom_site_fract_x
_atom_site_fract_y
_atom_site_fract_z
_atom_site_occupancy
Al1 0.1730 0.3270 0.0000 1
Ge1 0.1394 0.6394 0.5000 1
Ir1 0.0000 0.0000 0.5000 1
# Volume ... 17.12 A^3/atom
# ΔH_f (0 K) ... 0.15 eV/f.u.
# Polymorph energy (0 for the lowest one) ... 0.000 eV/atom

=====

# Al2GeIr2 (PBE-GGA, optimized geometry)
data_Al2GeIr2
_chemical_formula_sum 'Al4 Ge2 Ir4'
_symmetry_space_group_name_H-M 'P 4/m b m'
_symmetry_Int_Tables_number 127
_symmetry_space_group_name_Hall '-P 4 2ab'
_cell_length_a 7.3041
_cell_length_b 7.3041
_cell_length_c 2.8860
_cell_angle_alpha 90.00
_cell_angle_beta 90.00
_cell_angle_gamma 90.00
loop_
_atom_site_label
_atom_site_fract_x
_atom_site_fract_y
_atom_site_fract_z
_atom_site_occupancy
Al1 0.1414 0.3586 0.0000 1
Ge1 0.0000 0.0000 0.5000 1
Ir1 0.1545 0.6545 0.5000 1
# Volume ... 15.40 A^3/atom
# ΔH_f (0 K) ... -2.60 eV/f.u.

=====

# Al5GeIr2 (PBE-GGA, optimized geometry)
data_Al5GeIr2
_chemical_formula_sum 'Al10 Ge2 Ir4'
_symmetry_space_group_name_H-M 'P b a m'
_symmetry_Int_Tables_number 55
_cell_length_a 7.1966
_cell_length_b 12.2162
_cell_length_c 2.9474
_cell_angle_alpha 90.00
_cell_angle_beta 90.00
_cell_angle_gamma 90.00
loop_
_symmetry_equiv_pos_as_xyz
'x,y,z'
'-x,-y,-z'
'-x,-y,z'
'x,y,-z'
'x+1/2,-y+1/2,-z'
'-x+1/2,y+1/2,z'
'-x+1/2,y+1/2,-z'
'x+1/2,-y+1/2,z'
loop_
_atom_site_label
_atom_site_fract_x
_atom_site_fract_y
_atom_site_fract_z
_atom_site_occupancy
Al1 0.0000 0.0000 0.0000 1
Al2 0.1718 0.3623 0.5000 1
Al3 0.1879 0.6813 0.0000 1
Ge1 0.0000 0.5000 0.0000 1
Ir1 0.0107 0.1763 0.5000 1
# Volume ... 16.20 A^3/atom
# ΔH_f (0 K) ... -3.93 eV/f.u.

=====

# AlGe3Ir (PBE-GGA, optimized geometry)
data_AlGe3Ir
_chemical_formula_sum 'Al1 Ge3 Ir1'
_symmetry_space_group_name_H-M 'P m -3 m'
_symmetry_Int_Tables_number 221
_symmetry_space_group_name_Hall '-P 4 2 3'
_cell_length_a 4.7149
_cell_length_b 4.7149
_cell_length_c 4.7149
_cell_angle_alpha 90.00
_cell_angle_beta 90.00
_cell_angle_gamma 90.00
loop_
_atom_site_label
_atom_site_fract_x
_atom_site_fract_y
_atom_site_fract_z
_atom_site_occupancy
Al1 0.0000 0.0000 0.0000 1
Ge1 0.0000 0.0000 0.5000 1
Ir1 0.5000 0.5000 0.5000 1
# Volume ... 20.96 A^3/atom
# ΔH_f (0 K) ... 5.46 eV/f.u.
# Polymorph energy (0 for the lowest one) ... 0.687 eV/atom

=====

# La2AlGe4Ir3 (PBE-GGA, optimized geometry)
data_La2AlGe4Ir3
_chemical_formula_sum 'La2 Al1 Ge4 Ir3'
_symmetry_space_group_name_H-M 'P -4 m 2'
_symmetry_Int_Tables_number 115
_cell_length_a 4.3091
_cell_length_b 4.3091
_cell_length_c 10.4553
_cell_angle_alpha 90.00
_cell_angle_beta 90.00
_cell_angle_gamma 90.00
loop_
_symmetry_equiv_pos_as_xyz
'x,y,z'
'y,-x,-z'
'-x,-y,z'
'-y,x,-z'
'-x,y,z'
'-y,-x,-z'
'x,-y,z'
'y,x,-z'
loop_
_atom_site_label
_atom_site_fract_x
_atom_site_fract_y
_atom_site_fract_z
_atom_site_occupancy
La1 0.0000 0.5000 0.2415 1
Al1 0.0000 0.0000 0.5000 1
Ge1 0.0000 0.0000 0.0000 1
Ge2 0.0000 0.5000 0.6415 1
Ge3 0.5000 0.5000 0.0000 1
Ir1 0.0000 0.5000 0.8779 1
Ir2 0.5000 0.5000 0.5000 1
# Volume ... 19.41 A^3/atom
# ΔH_f (0 K) ... -7.36 eV/f.u.

=====

# La2AlGe3Ir4 (PBE-GGA, optimized geometry)
data_La2AlGe3Ir4
_chemical_formula_sum 'La2 Al1 Ge3 Ir4'
_symmetry_space_group_name_H-M 'P -4 m 2'
_symmetry_Int_Tables_number 115
_cell_length_a 4.2663
_cell_length_b 4.2663
_cell_length_c 10.4412
_cell_angle_alpha 90.00
_cell_angle_beta 90.00
_cell_angle_gamma 90.00
loop_
_symmetry_equiv_pos_as_xyz
'x,y,z'
'y,-x,-z'
'-x,-y,z'
'-y,x,-z'
'-x,y,z'
'-y,-x,-z'
'x,-y,z'
'y,x,-z'
loop_
_atom_site_label
_atom_site_fract_x
_atom_site_fract_y
_atom_site_fract_z
_atom_site_occupancy
La1 0.0000 0.5000 0.2476 1
Al1 0.5000 0.5000 0.0000 1
Ge1 0.0000 0.0000 0.0000 1
Ge2 0.0000 0.5000 0.6290 1
Ir1 0.0000 0.0000 0.5000 1
Ir2 0.0000 0.5000 0.8685 1
Ir3 0.5000 0.5000 0.5000 1
# Volume ... 19.00 A^3/atom
# ΔH_f (0 K) ... -8.36 eV/f.u.

=====

# LiAlGeIr (PBE-GGA, optimized geometry)
data_LiAlGeIr
_chemical_formula_sum 'Li4 Al4 Ge4 Ir4'
_symmetry_space_group_name_H-M 'F -4 3 m'
_symmetry_Int_Tables_number 216
_symmetry_space_group_name_Hall 'F -4 2 3'
_cell_length_a 6.0808
_cell_length_b 6.0808
_cell_length_c 6.0808
_cell_angle_alpha 90.00
_cell_angle_beta 90.00
_cell_angle_gamma 90.00
loop_
_atom_site_label
_atom_site_fract_x
_atom_site_fract_y
_atom_site_fract_z
_atom_site_occupancy
Li1 0.0000 0.0000 0.0000 1
Al1 0.2500 0.2500 0.7500 1
Ge1 0.2500 0.2500 0.2500 1
Ir1 0.0000 0.0000 0.5000 1
# Volume ... 14.05 A^3/atom
# ΔH_f (0 K) ... -2.08 eV/f.u.

=====

# Mg2Al2GeIr5 (PBE-GGA, optimized geometry)
data_Mg2Al2GeIr5
_chemical_formula_sum 'Mg4 Al4 Ge2 Ir10'
_symmetry_space_group_name_H-M 'P 4/m b m'
_symmetry_Int_Tables_number 127
_symmetry_space_group_name_Hall '-P 4 2ab'
_cell_length_a 9.9940
_cell_length_b 9.9940
_cell_length_c 3.1213
_cell_angle_alpha 90.00
_cell_angle_beta 90.00
_cell_angle_gamma 90.00
loop_
_atom_site_label
_atom_site_fract_x
_atom_site_fract_y
_atom_site_fract_z
_atom_site_occupancy
Mg1 0.1693 0.3307 0.0000 1
Al1 0.1315 0.6315 0.0000 1
Ge1 0.0000 0.0000 0.0000 1
Ir1 0.0000 0.5000 0.5000 1
Ir2 0.0734 0.8090 0.5000 1
# Volume ... 15.59 A^3/atom
# ΔH_f (0 K) ... -4.09 eV/f.u.

=====

# AlGeMoIr2 (PBE-GGA, optimized geometry)
data_AlGeMoIr2
_chemical_formula_sum 'Al1 Ge1 Mo1 Ir2'
_symmetry_space_group_name_H-M 'P 4/m m m'
_symmetry_Int_Tables_number 123
_symmetry_space_group_name_Hall '-P 4 2'
_cell_length_a 4.7689
_cell_length_b 4.7689
_cell_length_c 4.7726
_cell_angle_alpha 90.00
_cell_angle_beta 90.00
_cell_angle_gamma 90.00
loop_
_atom_site_label
_atom_site_fract_x
_atom_site_fract_y
_atom_site_fract_z
_atom_site_occupancy
Al1 0.0000 0.0000 0.0000 1
Ge1 0.5000 0.5000 0.0000 1
Mo1 0.5000 0.5000 0.5000 1
Ir1 0.0000 0.5000 0.5000 1
# Volume ... 21.71 A^3/atom
# ΔH_f (0 K) ... 6.09 eV/f.u.

=====

# AlGe2IrN (PBE-GGA, optimized geometry)
data_AlGe2IrN
_chemical_formula_sum 'Al1 Ge2 Ir1 N1'
_symmetry_space_group_name_H-M 'P 4/m m m'
_symmetry_Int_Tables_number 123
_symmetry_space_group_name_Hall '-P 4 2'
_cell_length_a 4.8720
_cell_length_b 4.8720
_cell_length_c 4.5190
_cell_angle_alpha 90.00
_cell_angle_beta 90.00
_cell_angle_gamma 90.00
loop_
_atom_site_label
_atom_site_fract_x
_atom_site_fract_y
_atom_site_fract_z
_atom_site_occupancy
Al1 0.0000 0.0000 0.0000 1
Ge1 0.0000 0.5000 0.0000 1
Ir1 0.0000 0.0000 0.5000 1
N1 0.5000 0.5000 0.5000 1
# ΔE_f (raw) ... 177.9 kJ per mole of atoms
# Volume ... 21.45 A^3/atom

=====

# NbAlGe2Ir (PBE-GGA, optimized geometry)
data_NbAlGe2Ir
_chemical_formula_sum 'Nb1 Al1 Ge2 Ir1'
_symmetry_space_group_name_H-M 'P 4/m m m'
_symmetry_Int_Tables_number 123
_symmetry_space_group_name_Hall '-P 4 2'
_cell_length_a 4.7571
_cell_length_b 4.7571
_cell_length_c 4.7059
_cell_angle_alpha 90.00
_cell_angle_beta 90.00
_cell_angle_gamma 90.00
loop_
_atom_site_label
_atom_site_fract_x
_atom_site_fract_y
_atom_site_fract_z
_atom_site_occupancy
Nb1 0.0000 0.0000 0.0000 1
Al1 0.5000 0.5000 0.0000 1
Ge1 0.0000 0.5000 0.5000 1
Ir1 0.5000 0.5000 0.5000 1
# Volume ... 21.30 A^3/atom
# ΔH_f (0 K) ... 3.45 eV/f.u.

=====

# Nd2AlGe3Ir4 (PBE-GGA, optimized geometry)
data_Nd2AlGe3Ir4
_chemical_formula_sum 'Nd2 Al1 Ge3 Ir4'
_symmetry_space_group_name_H-M 'P -4 m 2'
_symmetry_Int_Tables_number 115
_cell_length_a 4.2391
_cell_length_b 4.2391
_cell_length_c 10.3616
_cell_angle_alpha 90.00
_cell_angle_beta 90.00
_cell_angle_gamma 90.00
loop_
_symmetry_equiv_pos_as_xyz
'x,y,z'
'y,-x,-z'
'-x,-y,z'
'-y,x,-z'
'-x,y,z'
'-y,-x,-z'
'x,-y,z'
'y,x,-z'
loop_
_atom_site_label
_atom_site_fract_x
_atom_site_fract_y
_atom_site_fract_z
_atom_site_occupancy
Nd1 0.0000 0.5000 0.2494 1
Al1 0.5000 0.5000 0.0000 1
Ge1 0.0000 0.0000 0.0000 1
Ge2 0.0000 0.5000 0.6306 1
Ir1 0.0000 0.0000 0.5000 1
Ir2 0.0000 0.5000 0.8684 1
Ir3 0.5000 0.5000 0.5000 1
# Volume ... 18.62 A^3/atom
# ΔH_f (0 K) ... -8.12 eV/f.u.

=====

# AlNiGeIr (PBE-GGA, optimized geometry)
data_AlNiGeIr
_chemical_formula_sum 'Al4 Ni4 Ge4 Ir4'
_symmetry_space_group_name_H-M 'F -4 3 m'
_symmetry_Int_Tables_number 216
_symmetry_space_group_name_Hall 'F -4 2 3'
_cell_length_a 6.0162
_cell_length_b 6.0162
_cell_length_c 6.0162
_cell_angle_alpha 90.00
_cell_angle_beta 90.00
_cell_angle_gamma 90.00
loop_
_atom_site_label
_atom_site_fract_x
_atom_site_fract_y
_atom_site_fract_z
_atom_site_occupancy
Al1 0.0000 0.0000 0.0000 1
Ni1 0.2500 0.2500 0.2500 1
Ge1 0.0000 0.0000 0.5000 1
Ir1 0.2500 0.2500 0.7500 1
# Volume ... 13.61 A^3/atom
# ΔH_f (0 K) ... -1.46 eV/f.u.

=====

# Pa2AlGe3Ir4 (PBE-GGA, optimized geometry)
data_Pa2AlGe3Ir4
_chemical_formula_sum 'Pa2 Al1 Ge3 Ir4'
_symmetry_space_group_name_H-M 'P -4 m 2'
_symmetry_Int_Tables_number 115
_cell_length_a 4.1315
_cell_length_b 4.1315
_cell_length_c 10.5000
_cell_angle_alpha 90.00
_cell_angle_beta 90.00
_cell_angle_gamma 90.00
loop_
_symmetry_equiv_pos_as_xyz
'x,y,z'
'y,-x,-z'
'-x,-y,z'
'-y,x,-z'
'-x,y,z'
'-y,-x,-z'
'x,-y,z'
'y,x,-z'
loop_
_atom_site_label
_atom_site_fract_x
_atom_site_fract_y
_atom_site_fract_z
_atom_site_occupancy
Pa1 0.0000 0.5000 0.2478 1
Al1 0.0000 0.0000 0.5000 1
Ge1 0.0000 0.5000 0.8677 1
Ge2 0.5000 0.5000 0.5000 1
Ir1 0.0000 0.0000 0.0000 1
Ir2 0.0000 0.5000 0.6378 1
Ir3 0.5000 0.5000 0.0000 1
# Volume ... 17.92 A^3/atom
# ΔH_f (0 K) ... -7.30 eV/f.u.

=====

# Pm2Al4GeIr3 (PBE-GGA, optimized geometry)
data_Pm2Al4GeIr3
_chemical_formula_sum 'Pm2 Al4 Ge1 Ir3'
_symmetry_space_group_name_H-M 'P -4 m 2'
_symmetry_Int_Tables_number 115
_cell_length_a 4.1597
_cell_length_b 4.1597
_cell_length_c 10.8831
_cell_angle_alpha 90.00
_cell_angle_beta 90.00
_cell_angle_gamma 90.00
loop_
_symmetry_equiv_pos_as_xyz
'x,y,z'
'y,-x,-z'
'-x,-y,z'
'-y,x,-z'
'-x,y,z'
'-y,-x,-z'
'x,-y,z'
'y,x,-z'
loop_
_atom_site_label
_atom_site_fract_x
_atom_site_fract_y
_atom_site_fract_z
_atom_site_occupancy
Pm1 0.0000 0.5000 0.2473 1
Al1 0.0000 0.0000 0.0000 1
Al2 0.0000 0.5000 0.6370 1
Al3 0.5000 0.5000 0.0000 1
Ge1 0.0000 0.0000 0.5000 1
Ir1 0.0000 0.5000 0.8666 1
Ir2 0.5000 0.5000 0.5000 1
# Volume ... 18.83 A^3/atom
# ΔH_f (0 K) ... -7.48 eV/f.u.

=====

# Pr2AlGe3Ir4 (PBE-GGA, optimized geometry)
data_Pr2AlGe3Ir4
_chemical_formula_sum 'Pr2 Al1 Ge3 Ir4'
_symmetry_space_group_name_H-M 'P -4 m 2'
_symmetry_Int_Tables_number 115
_cell_length_a 4.2536
_cell_length_b 4.2536
_cell_length_c 10.3714
_cell_angle_alpha 90.00
_cell_angle_beta 90.00
_cell_angle_gamma 90.00
loop_
_symmetry_equiv_pos_as_xyz
'x,y,z'
'y,-x,-z'
'-x,-y,z'
'-y,x,-z'
'-x,y,z'
'-y,-x,-z'
'x,-y,z'
'y,x,-z'
loop_
_atom_site_label
_atom_site_fract_x
_atom_site_fract_y
_atom_site_fract_z
_atom_site_occupancy
Pr1 0.0000 0.5000 0.2489 1
Al1 0.5000 0.5000 0.0000 1
Ge1 0.0000 0.0000 0.0000 1
Ge2 0.0000 0.5000 0.6303 1
Ir1 0.0000 0.0000 0.5000 1
Ir2 0.0000 0.5000 0.8690 1
Ir3 0.5000 0.5000 0.5000 1
# Volume ... 18.76 A^3/atom
# ΔH_f (0 K) ... -8.06 eV/f.u.

=====

# Pr2AlGe4Ir3 (PBE-GGA, optimized geometry)
data_Pr2AlGe4Ir3
_chemical_formula_sum 'Pr2 Al1 Ge4 Ir3'
_symmetry_space_group_name_H-M 'P -4 m 2'
_symmetry_Int_Tables_number 115
_cell_length_a 4.2791
_cell_length_b 4.2791
_cell_length_c 10.4580
_cell_angle_alpha 90.00
_cell_angle_beta 90.00
_cell_angle_gamma 90.00
loop_
_symmetry_equiv_pos_as_xyz
'x,y,z'
'y,-x,-z'
'-x,-y,z'
'-y,x,-z'
'-x,y,z'
'-y,-x,-z'
'x,-y,z'
'y,x,-z'
loop_
_atom_site_label
_atom_site_fract_x
_atom_site_fract_y
_atom_site_fract_z
_atom_site_occupancy
Pr1 0.0000 0.5000 0.2417 1
Al1 0.0000 0.0000 0.5000 1
Ge1 0.0000 0.0000 0.0000 1
Ge2 0.0000 0.5000 0.6429 1
Ge3 0.5000 0.5000 0.0000 1
Ir1 0.0000 0.5000 0.8779 1
Ir2 0.5000 0.5000 0.5000 1
# Volume ... 19.15 A^3/atom
# ΔH_f (0 K) ... -7.00 eV/f.u.

=====

# Sm2AlGe3Ir4 (PBE-GGA, optimized geometry)
data_Sm2AlGe3Ir4
_chemical_formula_sum 'Sm2 Al1 Ge3 Ir4'
_symmetry_space_group_name_H-M 'P -4 m 2'
_symmetry_Int_Tables_number 115
_cell_length_a 4.2147
_cell_length_b 4.2147
_cell_length_c 10.3544
_cell_angle_alpha 90.00
_cell_angle_beta 90.00
_cell_angle_gamma 90.00
loop_
_symmetry_equiv_pos_as_xyz
'x,y,z'
'y,-x,-z'
'-x,-y,z'
'-y,x,-z'
'-x,y,z'
'-y,-x,-z'
'x,-y,z'
'y,x,-z'
loop_
_atom_site_label
_atom_site_fract_x
_atom_site_fract_y
_atom_site_fract_z
_atom_site_occupancy
Sm1 0.0000 0.5000 0.2498 1
Al1 0.0000 0.0000 0.5000 1
Ge1 0.0000 0.5000 0.8688 1
Ge2 0.5000 0.5000 0.5000 1
Ir1 0.0000 0.0000 0.0000 1
Ir2 0.0000 0.5000 0.6325 1
Ir3 0.5000 0.5000 0.0000 1
# Volume ... 18.39 A^3/atom
# ΔH_f (0 K) ... -8.18 eV/f.u.

=====

# Tb2AlGe2Ir5 (PBE-GGA, optimized geometry)
data_Tb2AlGe2Ir5
_chemical_formula_sum 'Tb4 Al2 Ge4 Ir10'
_symmetry_space_group_name_H-M 'P 4/m b m'
_symmetry_Int_Tables_number 127
_symmetry_space_group_name_Hall '-P 4 2ab'
_cell_length_a 9.7364
_cell_length_b 9.7364
_cell_length_c 3.6027
_cell_angle_alpha 90.00
_cell_angle_beta 90.00
_cell_angle_gamma 90.00
loop_
_atom_site_label
_atom_site_fract_x
_atom_site_fract_y
_atom_site_fract_z
_atom_site_occupancy
Tb1 0.1739 0.3261 0.0000 1
Al1 0.0000 0.0000 0.0000 1
Ge1 0.1260 0.6260 0.0000 1
Ir1 0.0000 0.5000 0.5000 1
Ir2 0.0640 0.7960 0.5000 1
# Volume ... 17.08 A^3/atom
# ΔH_f (0 K) ... -6.74 eV/f.u.

=====

# TbAlGeIr2 (PBE-GGA, optimized geometry)
data_TbAlGeIr2
_chemical_formula_sum 'Tb4 Al4 Ge4 Ir8'
_symmetry_space_group_name_H-M 'C m c m'
_symmetry_Int_Tables_number 63
_symmetry_space_group_name_Hall '-C 2c 2'
_cell_length_a 4.2598
_cell_length_b 12.9818
_cell_length_c 6.9965
_cell_angle_alpha 90.00
_cell_angle_beta 90.00
_cell_angle_gamma 90.00
loop_
_atom_site_label
_atom_site_fract_x
_atom_site_fract_y
_atom_site_fract_z
_atom_site_occupancy
Tb1 0.0000 0.1141 0.2500 1
Al1 0.0000 0.1982 0.7500 1
Ge1 0.0000 0.5000 0.0000 1
Ir1 0.0000 0.3209 0.0432 1
# Volume ... 19.35 A^3/atom
# ΔH_f (0 K) ... -3.11 eV/f.u.